Entry 1:
Density functional theory data (GGA-PBE) for a relaxed Sm2AgPt2 crystal.

Cell: 7.782 7.782 3.781 Å, 90.00 90.00 90.00°
Fractional positions:
Sm: 0.169 0.331 0.000
Sm: 0.331 0.831 0.000
Sm: 0.669 0.169 0.000
Sm: 0.831 0.669 0.000
Ag: 0.000 0.000 0.500
Ag: 0.500 0.500 0.500
Pt: 0.132 0.632 0.500
Pt: 0.368 0.132 0.500
Pt: 0.632 0.868 0.500
Pt: 0.868 0.368 0.500

Properties
Formation energy from the elements = -0.940 eV/atom

Entry 2:
Density functional theory data (GGA-PBE) for a relaxed Ca3Pu2NpP6 crystal.

Cell: 7.036 7.036 6.982 Å, 99.67 99.67 120.00°
Fractional positions:
Ca: 0.000 0.000 0.000
Ca: 0.333 0.667 0.000
Ca: 0.667 0.333 0.000
Pu: 0.167 0.833 0.500
Pu: 0.833 0.167 0.500
Np: 0.500 0.500 0.500
P: 0.097 0.425 0.276
P: 0.246 0.246 0.723
P: 0.425 0.097 0.276
P: 0.575 0.903 0.724
P: 0.754 0.754 0.277
P: 0.903 0.575 0.724

Properties
Formation energy from the elements = -1.061 eV/atom

Entry 3:
Density functional theory data (GGA-PBE) for a relaxed Pr8SnS6 crystal.

Cell: 10.692 10.692 4.149 Å, 90.00 90.00 120.00°
Fractional positions:
Pr: 0.035 0.337 0.248
Pr: 0.302 0.965 0.248
Pr: 0.333 0.667 0.751
Pr: 0.337 0.302 0.752
Pr: 0.663 0.698 0.248
Pr: 0.667 0.333 0.249
Pr: 0.698 0.035 0.752
Pr: 0.965 0.663 0.752
Sn: 0.000 0.000 0.000
S: 0.137 0.653 0.250
S: 0.347 0.483 0.250
S: 0.483 0.137 0.750
S: 0.517 0.863 0.250
S: 0.653 0.517 0.750
S: 0.863 0.347 0.750

Values for N(E_F), states/eV per cell, ordered as above
4.214 31.259 11.312
Values for VASP energy, eV per atom, ordered as above
-5.81 -7.73 -6.04